Here is a geometry-optimized SbIrNF2 structure from the Alexandria database. Energies are from PBEsol.

The structure belongs to space group P4/mmm (No. 123); the cell edges are 4.444, 4.444 and 3.688 Å and the angles 90.00°, 90.00° and 90.00°. The inequivalent atoms are Sb at (0.000, 0.000, 0.000), Ir at (0.500, 0.500, 0.500), N at (0.500, 0.500, 0.000) and F at (0.000, 0.500, 0.500).

The calculation puts the uncorrected formation energy at -0.089 eV per atom. The relative energy among the computed polymorphs is 0 meV per atom. Its density of states at the Fermi level is 2.55 states/eV/f.u.